# RbMnN2O, optimized geometry, DFT GGA+U
# Electronic total energy ... -5.140 eV/atom
# DOS(E_F) ... 4.60 states/eV/f.u.
# Total magnetic moment ... 1.9 μB per cell
data_RbMnN2O
_chemical_formula_sum 'Rb1 Mn1 N2 O1'
_symmetry_space_group_name_H-M 'P 4/m m m'
_symmetry_Int_Tables_number 123
_symmetry_space_group_name_Hall '-P 4 2'
_cell_length_a 3.725
_cell_length_b 3.725
_cell_length_c 4.292
_cell_angle_alpha 90.00
_cell_angle_beta 90.00
_cell_angle_gamma 90.00
loop_
_atom_site_label
_atom_site_type_symbol
_atom_site_fract_x
_atom_site_fract_y
_atom_site_fract_z
Rb1 Rb 0.000 0.000 0.000
Mn1 Mn 0.500 0.500 0.500
N1 N 0.000 0.500 0.500
O1 O 0.500 0.500 0.000